Material: PrBi2SbO8
Method: DFT, PBE-GGA
State: optimized geometry

Lattice parameters (Å, degrees): 5.101 5.100 7.081 90.00 90.00 88.97
Sites, in units of the cell vectors:
O (0.815, 0.185, 0.215)
O (0.185, 0.815, 0.215)
O (0.286, 0.285, 0.000)
O (0.714, 0.715, 0.000)
O (0.815, 0.185, 0.785)
O (0.677, 0.677, 0.500)
O (0.185, 0.815, 0.785)
O (0.323, 0.323, 0.500)
Bi (0.500, 0.500, 0.758)
Bi (0.500, 0.500, 0.242)
Pr (0.000, 0.000, 0.500)
Sb (0.000, 0.000, 0.000)

Symmetry: Cmmm, No. 65
Total energy (eV/atom): -6.2748
E_form (uncorrected) (eV per atom): -1.581